# MgZn2Rh2

A crystal of MgZn2Rh2 relaxed with PBEsol (SCAN, Alexandria via LeMat-Bulk).

Computed properties:
E above lowest polymorph   0.000 eV per atom
Density   8.1 g/cm³
Energy relative to the elements   -0.39 eV per atom
Final energy   -202.99 eV/cell
M_tot   0.00 μB/cell
Crystal system   tetragonal

Unit cell a=6.9230 b=6.9230 c=3.0826 alpha=90.00 beta=90.00 gamma=90.00
Atoms (fractional coordinates):
Mg: 0.0000 0.0000 0.0000
Mg: 0.5000 0.5000 0.0000
Zn: 0.1549 0.3451 0.5000
Zn: 0.3451 0.8451 0.5000
Zn: 0.6549 0.1549 0.5000
Zn: 0.8451 0.6549 0.5000
Rh: 0.1417 0.6417 0.0000
Rh: 0.3583 0.1417 0.0000
Rh: 0.6417 0.8583 0.0000
Rh: 0.8583 0.3583 0.0000